Entry 1:
Density functional theory data (PBEsol) for a geometry-optimized Ho11Sn10 structure.

```
data_Ho11Sn10
_symmetry_space_group_name_H-M 'P 1'
_symmetry_Int_Tables_number 1
_cell_length_a 11.419
_cell_length_b 11.608
_cell_length_c 11.419
_cell_angle_alpha 60.54
_cell_angle_beta 90.00
_cell_angle_gamma 119.46
loop_
_symmetry_equiv_pos_as_xyz
'x,y,z'
loop_
_atom_site_label
_atom_site_type_symbol
_atom_site_fract_x
_atom_site_fract_y
_atom_site_fract_z
Ho1 Ho 0.812 0.623 0.440
Ho2 Ho 0.812 0.623 0.937
Ho3 Ho 0.063 0.623 0.188
Ho4 Ho 0.560 0.623 0.188
Ho5 Ho 0.188 0.377 0.560
Ho6 Ho 0.188 0.377 0.063
Ho7 Ho 0.937 0.377 0.812
Ho8 Ho 0.440 0.377 0.812
Ho9 Ho 0.173 0.000 0.173
Ho10 Ho 0.827 0.000 0.827
Ho11 Ho 0.173 0.000 0.827
Ho12 Ho 0.827 0.000 0.173
Ho13 Ho 0.668 0.336 0.332
Ho14 Ho 0.332 0.664 0.668
Ho15 Ho 0.602 0.204 0.729
Ho16 Ho 0.602 0.204 0.066
Ho17 Ho 0.934 0.204 0.398
Ho18 Ho 0.271 0.204 0.398
Ho19 Ho 0.398 0.796 0.271
Ho20 Ho 0.398 0.796 0.934
Ho21 Ho 0.066 0.796 0.602
Ho22 Ho 0.729 0.796 0.602
Sn1 Sn 0.356 0.000 0.000
Sn2 Sn 0.644 0.000 0.000
Sn3 Sn 0.000 0.000 0.644
Sn4 Sn 0.000 0.000 0.356
Sn5 Sn 0.888 0.777 0.112
Sn6 Sn 0.112 0.223 0.888
Sn7 Sn 0.370 0.000 0.370
Sn8 Sn 0.630 0.000 0.630
Sn9 Sn 0.370 0.000 0.630
Sn10 Sn 0.630 0.000 0.370
Sn11 Sn 0.750 0.500 0.750
Sn12 Sn 0.250 0.500 0.250
Sn13 Sn 0.881 0.351 0.530
Sn14 Sn 0.470 0.351 0.119
Sn15 Sn 0.881 0.351 0.119
Sn16 Sn 0.470 0.351 0.530
Sn17 Sn 0.119 0.649 0.470
Sn18 Sn 0.530 0.649 0.881
Sn19 Sn 0.119 0.649 0.881
Sn20 Sn 0.530 0.649 0.470
```

## Properties
DFT formation energy (eV/atom): -0.7786
Magnetic moment (μB per formula unit): 0.00

---

Entry 2:
Density functional theory data (PBEsol) for a geometry-optimized Bi2TeSe2 structure.

```
data_Bi2TeSe2
_symmetry_space_group_name_H-M 'P 1'
_symmetry_Int_Tables_number 1
_cell_length_a 4.210
_cell_length_b 4.210
_cell_length_c 10.003
_cell_angle_alpha 77.85
_cell_angle_beta 77.85
_cell_angle_gamma 60.00
loop_
_symmetry_equiv_pos_as_xyz
'x,y,z'
loop_
_atom_site_label
_atom_site_type_symbol
_atom_site_fract_x
_atom_site_fract_y
_atom_site_fract_z
Te1 Te 0.797 0.797 0.609
Bi1 Bi 0.607 0.607 0.180
Bi2 Bi 0.402 0.402 0.795
Se1 Se 0.003 0.003 0.990
Se2 Se 0.220 0.220 0.339
```

## Properties
Uncorrected formation energy (meV per atom): -338.7
Magnetic moment (μB per formula unit): 0.00

---

Entry 3:
Density functional theory data (PBEsol) for a geometry-optimized K2TaPdRh structure.

```
data_K2TaPdRh
_symmetry_space_group_name_H-M 'P 1'
_symmetry_Int_Tables_number 1
_cell_length_a 4.501
_cell_length_b 6.313
_cell_length_c 6.313
_cell_angle_alpha 90.00
_cell_angle_beta 90.00
_cell_angle_gamma 90.00
loop_
_symmetry_equiv_pos_as_xyz
'x,y,z'
loop_
_atom_site_label
_atom_site_type_symbol
_atom_site_fract_x
_atom_site_fract_y
_atom_site_fract_z
K1 K 0.000 0.000 0.500
K2 K 0.000 0.500 0.000
Rh1 Rh 0.500 0.000 0.000
Pd1 Pd 0.500 0.500 0.500
Ta1 Ta 0.000 0.000 0.000
```

## Properties
DFT formation energy (eV/atom): 1.6189
Magnetic moment (μB per formula unit): 1.05

---

Entry 4:
Density functional theory data (PBEsol) for a geometry-optimized La2MgBe structure.

```
data_La2MgBe
_symmetry_space_group_name_H-M 'P 1'
_symmetry_Int_Tables_number 1
_cell_length_a 4.512
_cell_length_b 4.512
_cell_length_c 5.844
_cell_angle_alpha 112.71
_cell_angle_beta 112.71
_cell_angle_gamma 90.00
loop_
_symmetry_equiv_pos_as_xyz
'x,y,z'
loop_
_atom_site_label
_atom_site_type_symbol
_atom_site_fract_x
_atom_site_fract_y
_atom_site_fract_z
Be1 Be 0.250 0.750 0.500
Mg1 Mg 0.500 0.500 0.000
La1 La 0.000 0.000 0.000
La2 La 0.750 0.250 0.500
```

## Properties
DFT formation energy (eV/atom): 0.2382
Magnetic moment (μB per formula unit): 0.00

---

Entry 5:
Density functional theory data (PBEsol) for a geometry-optimized SrBeW structure.

```
data_SrBeW
_symmetry_space_group_name_H-M 'P 1'
_symmetry_Int_Tables_number 1
_cell_length_a 4.745
_cell_length_b 4.745
_cell_length_c 4.745
_cell_angle_alpha 60.00
_cell_angle_beta 60.00
_cell_angle_gamma 60.00
loop_
_symmetry_equiv_pos_as_xyz
'x,y,z'
loop_
_atom_site_label
_atom_site_type_symbol
_atom_site_fract_x
_atom_site_fract_y
_atom_site_fract_z
Sr1 Sr 0.750 0.750 0.750
W1 W 0.000 0.000 0.000
Be1 Be 0.500 0.500 0.500
```

## Properties
DFT formation energy (eV/atom): 2.6095
Magnetic moment (μB per formula unit): 2.94

---

Entry 6:
Density functional theory data (PBEsol) for a geometry-optimized CuNiPb structure.

```
data_CuNiPb
_symmetry_space_group_name_H-M 'P 1'
_symmetry_Int_Tables_number 1
_cell_length_a 3.300
_cell_length_b 3.300
_cell_length_c 4.830
_cell_angle_alpha 109.97
_cell_angle_beta 109.97
_cell_angle_gamma 90.00
loop_
_symmetry_equiv_pos_as_xyz
'x,y,z'
loop_
_atom_site_label
_atom_site_type_symbol
_atom_site_fract_x
_atom_site_fract_y
_atom_site_fract_z
Cu1 Cu 0.019 0.019 0.038
Ni1 Ni 0.649 0.649 0.299
Pb1 Pb 0.332 0.332 0.663
```

## Properties
DFT formation energy (eV/atom): 0.2470
Magnetic moment (μB per formula unit): 0.00

---

Entry 7:
Density functional theory data (PBEsol) for a geometry-optimized Li4YRh structure.

```
data_Li4YRh
_symmetry_space_group_name_H-M 'P 1'
_symmetry_Int_Tables_number 1
_cell_length_a 5.136
_cell_length_b 5.136
_cell_length_c 5.136
_cell_angle_alpha 60.00
_cell_angle_beta 60.00
_cell_angle_gamma 60.00
loop_
_symmetry_equiv_pos_as_xyz
'x,y,z'
loop_
_atom_site_label
_atom_site_type_symbol
_atom_site_fract_x
_atom_site_fract_y
_atom_site_fract_z
Li1 Li 0.378 0.378 0.378
Li2 Li 0.378 0.378 0.865
Li3 Li 0.865 0.378 0.378
Li4 Li 0.378 0.865 0.378
Rh1 Rh 0.750 0.750 0.750
Y1 Y 0.000 0.000 0.000
```

## Properties
DFT formation energy (eV/atom): 0.0241
Magnetic moment (μB per formula unit): 0.01

---

Entry 8:
Density functional theory data (PBEsol) for a geometry-optimized Zr3ZnH structure.

```
data_Zr3ZnH
_symmetry_space_group_name_H-M 'P 1'
_symmetry_Int_Tables_number 1
_cell_length_a 4.321
_cell_length_b 4.321
_cell_length_c 4.321
_cell_angle_alpha 90.00
_cell_angle_beta 90.00
_cell_angle_gamma 90.00
loop_
_symmetry_equiv_pos_as_xyz
'x,y,z'
loop_
_atom_site_label
_atom_site_type_symbol
_atom_site_fract_x
_atom_site_fract_y
_atom_site_fract_z
H1 H 0.000 0.000 0.000
Zn1 Zn 0.500 0.500 0.500
Zr1 Zr 0.000 0.500 0.000
Zr2 Zr 0.000 0.000 0.500
Zr3 Zr 0.500 0.000 0.000
```

## Properties
E_tot (eV/atom): -6.727
Magnetic moment (μB per formula unit): 0.00

---

Entry 9:
Density functional theory data (PBEsol) for a geometry-optimized CsZr2TlP structure.

```
data_CsZr2TlP
_symmetry_space_group_name_H-M 'P 1'
_symmetry_Int_Tables_number 1
_cell_length_a 5.212
_cell_length_b 5.264
_cell_length_c 5.264
_cell_angle_alpha 90.00
_cell_angle_beta 90.00
_cell_angle_gamma 90.00
loop_
_symmetry_equiv_pos_as_xyz
'x,y,z'
loop_
_atom_site_label
_atom_site_type_symbol
_atom_site_fract_x
_atom_site_fract_y
_atom_site_fract_z
Cs1 Cs 0.000 0.000 0.000
P1 P 0.500 0.000 0.000
Tl1 Tl 0.500 0.500 0.500
Zr1 Zr 0.000 0.000 0.500
Zr2 Zr 0.000 0.500 0.000
```

## Properties
DFT formation energy (eV/atom): 1.8943
Magnetic moment (μB per formula unit): 0.00

---

Entry 10:
Density functional theory data (PBEsol) for a geometry-optimized AlTe2C structure.

```
data_AlTe2C
_symmetry_space_group_name_H-M 'P 1'
_symmetry_Int_Tables_number 1
_cell_length_a 5.406
_cell_length_b 5.406
_cell_length_c 7.614
_cell_angle_alpha 110.79
_cell_angle_beta 110.79
_cell_angle_gamma 90.00
loop_
_symmetry_equiv_pos_as_xyz
'x,y,z'
loop_
_atom_site_label
_atom_site_type_symbol
_atom_site_fract_x
_atom_site_fract_y
_atom_site_fract_z
C1 C 0.750 0.250 0.500
C2 C 0.500 0.500 0.000
Te1 Te 0.434 0.875 0.250
Te2 Te 0.816 0.375 0.250
Te3 Te 0.125 0.184 0.750
Te4 Te 0.625 0.566 0.750
Al1 Al 0.250 0.750 0.500
Al2 Al 0.000 0.000 0.000
```

## Properties
Uncorrected formation energy (meV per atom): 984.2
Magnetic moment (μB per formula unit): 0.00

---

Entry 11:
Density functional theory data (PBEsol) for a geometry-optimized LiV3O8 structure.

```
data_LiV3O8
_symmetry_space_group_name_H-M 'P 1'
_symmetry_Int_Tables_number 1
_cell_length_a 3.551
_cell_length_b 6.671
_cell_length_c 11.672
_cell_angle_alpha 104.46
_cell_angle_beta 90.00
_cell_angle_gamma 90.00
loop_
_symmetry_equiv_pos_as_xyz
'x,y,z'
loop_
_atom_site_label
_atom_site_type_symbol
_atom_site_fract_x
_atom_site_fract_y
_atom_site_fract_z
Li1 Li 0.250 0.816 0.318
Li2 Li 0.750 0.184 0.682
V1 V 0.250 0.305 0.461
V2 V 0.750 0.695 0.539
V3 V 0.250 0.128 0.919
V4 V 0.750 0.872 0.081
V5 V 0.250 0.270 0.193
V6 V 0.750 0.730 0.807
O1 O 0.250 0.607 0.542
O2 O 0.750 0.393 0.458
O3 O 0.250 0.949 0.071
O4 O 0.750 0.051 0.929
O5 O 0.250 0.126 0.325
O6 O 0.750 0.874 0.675
O7 O 0.250 0.233 0.809
O8 O 0.750 0.767 0.191
O9 O 0.250 0.176 0.561
O10 O 0.750 0.824 0.439
O11 O 0.250 0.331 0.048
O12 O 0.750 0.669 0.952
O13 O 0.250 0.498 0.281
O14 O 0.750 0.502 0.719
O15 O 0.250 0.817 0.825
O16 O 0.750 0.183 0.175
```

## Properties
Uncorrected formation energy (meV per atom): -2310.6
Magnetic moment (μB per formula unit): 0.00

---

Entry 12:
Density functional theory data (PBEsol) for a geometry-optimized SiOsCl2 structure.

```
data_SiOsCl2
_symmetry_space_group_name_H-M 'P 1'
_symmetry_Int_Tables_number 1
_cell_length_a 2.906
_cell_length_b 4.137
_cell_length_c 7.157
_cell_angle_alpha 106.80
_cell_angle_beta 101.71
_cell_angle_gamma 90.00
loop_
_symmetry_equiv_pos_as_xyz
'x,y,z'
loop_
_atom_site_label
_atom_site_type_symbol
_atom_site_fract_x
_atom_site_fract_y
_atom_site_fract_z
Cl1 Cl 0.849 0.849 0.698
Cl2 Cl 0.151 0.151 0.302
Os1 Os 0.500 0.000 0.000
Si1 Si 0.000 0.500 0.000
```

## Properties
Uncorrected formation energy (meV per atom): 212.8
Magnetic moment (μB per formula unit): 0.00

---

no.,mass density (g cm⁻³)
1,9.166
2,7.841
3,4.336
4,5.183
5,6.165
6,11.881
7,3.806
8,6.999
9,6.333
10,5.077
11,3.570
12,5.968